# 1
First-principles (GGA-PBEsol) data for crystalline YCoMo2 at its relaxed geometry, as listed in Alexandria.

```
4
Lattice="-1.158 -0.905 3.385 2.707 -2.495 0.259 2.916 3.361 1.896" Properties=species:S:1:pos:R:3 pbc="T T T"
Co 1.458 1.680 0.948
Mo 1.353 -1.247 0.130
Mo -0.579 -0.452 1.692
Y 2.233 -0.019 2.770
```

## Properties
Space-group type: P4/mmm, No. 123
Total DFT energy (no corrections) in eV/atom: -9.124
Excess energy over the best structure of this formula in the dataset in eV/atom: 0.188

# 2
First-principles (GGA-PBEsol) data for crystalline KTl2Cd2 at its relaxed geometry, as listed in Alexandria.

```
5
Lattice="4.747 0.000 0.000 0.000 4.747 0.000 -2.374 -2.374 6.517" Properties=species:S:1:pos:R:3 pbc="T T T"
Tl 0.000 0.000 5.016
Tl 2.374 2.374 1.501
Cd 0.000 2.374 3.258
Cd 2.374 0.000 3.258
K 0.000 0.000 0.000
```

## Properties
Space-group type: I4/mmm, No. 139
Total DFT energy (no corrections) in eV/atom: -1.787
Excess energy over the best structure of this formula in the dataset in eV/atom: 0.000

# 3
First-principles (GGA-PBEsol) data for crystalline SrSm3 at its relaxed geometry, as listed in Alexandria.

```
4
Lattice="-4.150 1.405 2.744 -0.204 -4.717 2.106 3.076 1.582 3.842" Properties=species:S:1:pos:R:3 pbc="T T T"
Sm 1.436 -1.567 2.974
Sm -2.177 -1.656 2.425
Sm -0.537 1.494 3.293
Sr 0.000 0.000 0.000
```

## Properties
Space-group type: Pm-3m, No. 221
Total DFT energy (no corrections) in eV/atom: -4.111

# 4
First-principles (GGA-PBEsol) data for crystalline TlSb2Os at its relaxed geometry, as listed in Alexandria.

```
4
Lattice="3.463 0.000 0.000 0.000 5.108 0.017 0.000 -1.672 4.826" Properties=species:S:1:pos:R:3 pbc="T T T"
Tl 1.731 1.718 2.422
Sb 0.000 2.554 0.008
Sb 0.000 -0.836 2.413
Os 1.731 0.000 0.000
```

## Properties
ΔE_f (raw) in eV per atom: 0.785
Space-group type: Cmmm, No. 65
Total DFT energy (no corrections) in eV/atom: -5.205
Excess energy over the best structure of this formula in the dataset in eV/atom: 0.576

# 5
First-principles (GGA-PBEsol) data for crystalline CsP2RhO at its relaxed geometry, as listed in Alexandria.

```
5
Lattice="-3.724 0.913 -1.284 -0.926 -5.047 -0.904 -1.807 -0.538 4.857" Properties=species:S:1:pos:R:3 pbc="T T T"
Cs 0.000 0.000 0.000
Rh -3.228 -2.336 1.335
P -0.903 -0.269 2.429
P -0.463 -2.523 -0.452
O -1.862 0.457 -0.642
```

## Properties
ΔE_f (raw) in eV per atom: 2.014
Space-group type: P4/mmm, No. 123
Total DFT energy (no corrections) in eV/atom: -3.169

# 6
First-principles (GGA-PBEsol) data for crystalline SrLa4Cu at its relaxed geometry, as listed in Alexandria.

```
6
Lattice="-3.444 -3.728 -4.136 2.712 -5.356 -2.612 -2.032 -5.938 1.863" Properties=species:S:1:pos:R:3 pbc="T T T"
La -2.074 -8.637 -0.852
La -1.026 -5.575 -1.813
La 0.372 -8.337 -3.159
La -2.802 -7.497 -3.946
Sr -2.074 -11.267 -3.664
Cu 0.000 0.000 0.000
```

## Properties
Space-group type: F-43m, No. 216
Total DFT energy (no corrections) in eV/atom: -4.069